# CsLiVCl6, relaxed, DFT PBE
data_CsLiVCl6
_cell_length_a 6.4894
_cell_length_b 6.4894
_cell_length_c 7.7233
_cell_angle_alpha 90.00
_cell_angle_beta 90.00
_cell_angle_gamma 120.00
_space_group_name_H-M_alt 'P 3 1 2'
_space_group_IT_number 149
loop_
_space_group_symop_operation_xyz
'x,y,z'
'-y,x-y,z'
'-x+y,-x,z'
'-y,-x,-z'
'-x+y,y,-z'
'x,x-y,-z'
loop_
_atom_site_label
_atom_site_fract_x
_atom_site_fract_y
_atom_site_fract_z
_atom_site_occupancy
Cs1 0.0000 0.0000 0.0000 1
Li1 0.3333 0.6667 0.5000 1
V1 0.6667 0.3333 0.5000 1
Cl1 0.3891 0.0276 0.6751 1
# total magnetization	1.00	μB per formula unit
# uncorrected formation energy	-1474	meV per atom
# DOS at the Fermi energy	0.879	states/eV per atom
# ρ	2.38	g cm⁻³

***

# CsLiV2Cl8, relaxed, DFT PBE
data_CsLiV2Cl8
_cell_length_a 6.5674
_cell_length_b 6.5674
_cell_length_c 28.8396
_cell_angle_alpha 90.00
_cell_angle_beta 90.00
_cell_angle_gamma 120.00
_space_group_name_H-M_alt 'R -3'
_space_group_IT_number 148
_space_group_name_Hall '-R 3'
loop_
_atom_site_label
_atom_site_fract_x
_atom_site_fract_y
_atom_site_fract_z
_atom_site_occupancy
Cs1 0.0000 0.0000 0.0000 1
Li1 0.0000 0.0000 0.5000 1
V1 0.0000 0.0000 0.2419 1
Cl1 0.0000 0.0000 0.3194 1
Cl2 0.0018 0.6550 0.1123 1
# total magnetization	4.00	μB per formula unit
# uncorrected formation energy	-1413	meV per atom
# ρ	2.43	g cm⁻³

***

# CsLiWCl6, relaxed, DFT PBE
data_CsLiWCl6
_cell_length_a 6.5745
_cell_length_b 6.5745
_cell_length_c 7.8045
_cell_angle_alpha 90.00
_cell_angle_beta 90.00
_cell_angle_gamma 120.00
_space_group_name_H-M_alt 'P 3 1 2'
_space_group_IT_number 149
loop_
_space_group_symop_operation_xyz
'x,y,z'
'-y,x-y,z'
'-x+y,-x,z'
'-y,-x,-z'
'-x+y,y,-z'
'x,x-y,-z'
loop_
_atom_site_label
_atom_site_fract_x
_atom_site_fract_y
_atom_site_fract_z
_atom_site_occupancy
Cs1 0.0000 0.0000 0.0000 1
Li1 0.3333 0.6667 0.5000 1
W1 0.6667 0.3333 0.5000 1
Cl1 0.3817 0.0230 0.6771 1
# total magnetization	2.00	μB per formula unit
# uncorrected formation energy	-1300	meV per atom
# DOS at the Fermi energy	1.106	states/eV per atom
# ρ	3.05	g cm⁻³

***

- Look up the uncorrected formation energy of the first one.
  -1474 meV per atom

***

- Which value of total magnetization does entry 3 give?
  2.00 μB per formula unit

***

- Look up the total magnetization of the first one.
  1.00 μB per formula unit